No. 1
The following is a DFT calculation (PBE) of crystalline BaSeI2O at its relaxed geometry.

Structure (CIF):
```
data_BaSeI2O
_chemical_formula_sum 'Ba1 Se1 I2 O1'
_symmetry_space_group_name_H-M 'P 4/m m m'
_symmetry_Int_Tables_number 123
_symmetry_space_group_name_Hall '-P 4 2'
_cell_length_a 6.992
_cell_length_b 6.992
_cell_length_c 4.526
_cell_angle_alpha 90.00
_cell_angle_beta 90.00
_cell_angle_gamma 90.00
loop_
_atom_site_label
_atom_site_fract_x
_atom_site_fract_y
_atom_site_fract_z
Ba1 0.000 0.000 0.000
Se1 0.500 0.500 0.500
I1 0.000 0.500 0.000
O1 0.000 0.000 0.500
```

Summary:
- E (eV/atom) = -2.95
- DOS(E_F) (states/eV per atom) = 0.9311
- E_form (uncorrected) (eV/f.u.) = -1.298
- relative energy among the computed polymorphs (kJ per mole of atoms) = 43.07


No. 2
The following is a DFT calculation (PBE) of crystalline Ba4Se2IO2 at its relaxed geometry.

Structure (CIF):
```
data_Ba4Se2IO2
_chemical_formula_sum 'Ba8 Se4 I2 O4'
_symmetry_space_group_name_H-M 'C 1 2/m 1'
_symmetry_Int_Tables_number 12
_symmetry_space_group_name_Hall '-C 2y'
_cell_length_a 17.732
_cell_length_b 4.449
_cell_length_c 9.895
_cell_angle_alpha 90.00
_cell_angle_beta 118.41
_cell_angle_gamma 90.00
loop_
_atom_site_label
_atom_site_fract_x
_atom_site_fract_y
_atom_site_fract_z
Ba1 0.024 0.000 0.311
Ba2 0.238 0.500 0.331
Se1 0.095 0.500 0.618
I1 0.000 0.500 0.000
O1 0.176 0.000 0.377
```

Summary:
- E (eV/atom) = -4.94
- DOS(E_F) (states/eV per atom) = 0.0103
- E_form (uncorrected) (eV/f.u.) = -18.301


No. 3
The following is a DFT calculation (PBE) of crystalline BaSeI2O at its relaxed geometry.

Structure (CIF):
```
data_BaSeI2O
_chemical_formula_sum 'Ba1 Se1 I2 O1'
_symmetry_space_group_name_H-M 'P 4/m m m'
_symmetry_Int_Tables_number 123
_symmetry_space_group_name_Hall '-P 4 2'
_cell_length_a 6.207
_cell_length_b 6.207
_cell_length_c 4.012
_cell_angle_alpha 90.00
_cell_angle_beta 90.00
_cell_angle_gamma 90.00
loop_
_atom_site_label
_atom_site_fract_x
_atom_site_fract_y
_atom_site_fract_z
Ba1 0.000 0.000 0.000
Se1 0.500 0.500 0.500
I1 0.000 0.500 0.500
O1 0.500 0.500 0.000
```

Summary:
- E (eV/atom) = -3.40
- DOS(E_F) (states/eV per atom) = 0.8399
- E_form (uncorrected) (eV/f.u.) = -3.529
- relative energy among the computed polymorphs (kJ per mole of atoms) = 0.00


No. 4
The following is a DFT calculation (PBE) of crystalline BaSe2IO8 at its relaxed geometry.

Structure (CIF):
```
data_BaSe2IO8
_chemical_formula_sum 'Ba2 Se4 I2 O16'
_symmetry_space_group_name_H-M 'C 1 2/m 1'
_symmetry_Int_Tables_number 12
_symmetry_space_group_name_Hall '-C 2y'
_cell_length_a 11.615
_cell_length_b 5.411
_cell_length_c 7.080
_cell_angle_alpha 90.00
_cell_angle_beta 116.57
_cell_angle_gamma 90.00
loop_
_atom_site_label
_atom_site_fract_x
_atom_site_fract_y
_atom_site_fract_z
Ba1 0.000 0.000 0.000
Se1 0.212 0.000 0.698
I1 0.000 0.500 0.500
O1 0.130 0.500 0.158
O2 0.149 0.247 0.775
O3 0.162 0.000 0.439
```

Summary:
- E (eV/atom) = -5.08
- DOS(E_F) (states/eV per atom) = 0.1069
- E_form (uncorrected) (eV/f.u.) = -10.900


No. 5
The following is a DFT calculation (PBE) of crystalline BaSeIO2 at its relaxed geometry.

Structure (CIF):
```
data_BaSeIO2
_chemical_formula_sum 'Ba1 Se1 I1 O2'
_symmetry_space_group_name_H-M 'P 4/m m m'
_symmetry_Int_Tables_number 123
_symmetry_space_group_name_Hall '-P 4 2'
_cell_length_a 4.551
_cell_length_b 4.551
_cell_length_c 5.492
_cell_angle_alpha 90.00
_cell_angle_beta 90.00
_cell_angle_gamma 90.00
loop_
_atom_site_label
_atom_site_fract_x
_atom_site_fract_y
_atom_site_fract_z
Ba1 0.000 0.000 0.000
Se1 0.500 0.500 0.500
I1 0.500 0.500 0.000
O1 0.000 0.500 0.500
```

Summary:
- E (eV/atom) = -3.98
- DOS(E_F) (states/eV per atom) = 0.2548
- E_form (uncorrected) (eV/f.u.) = -3.003
- relative energy among the computed polymorphs (kJ per mole of atoms) = 0.00


No. 6
The following is a DFT calculation (PBE) of crystalline BaSeIO4 at its relaxed geometry.

Structure (CIF):
```
data_BaSeIO4
_chemical_formula_sum 'Ba4 Se4 I4 O16'
_symmetry_space_group_name_H-M 'C 1 2/m 1'
_symmetry_Int_Tables_number 12
_symmetry_space_group_name_Hall '-C 2y'
_cell_length_a 13.188
_cell_length_b 6.760
_cell_length_c 7.156
_cell_angle_alpha 90.00
_cell_angle_beta 107.40
_cell_angle_gamma 90.00
loop_
_atom_site_label
_atom_site_fract_x
_atom_site_fract_y
_atom_site_fract_z
Ba1 0.173 0.000 0.264
Se1 0.161 0.000 0.754
I1 0.022 0.500 0.196
O1 0.048 0.000 0.815
O2 0.171 0.197 0.616
O3 0.241 0.500 0.036
```

Summary:
- E (eV/atom) = -5.17
- E_form (uncorrected) (eV/f.u.) = -9.382


No. 7
The following is a DFT calculation (PBE) of crystalline BaSiIO2 at its relaxed geometry.

Structure (CIF):
```
data_BaSiIO2
_chemical_formula_sum 'Ba1 Si1 I1 O2'
_symmetry_space_group_name_H-M 'P 4/m m m'
_symmetry_Int_Tables_number 123
_symmetry_space_group_name_Hall '-P 4 2'
_cell_length_a 4.523
_cell_length_b 4.523
_cell_length_c 7.152
_cell_angle_alpha 90.00
_cell_angle_beta 90.00
_cell_angle_gamma 90.00
loop_
_atom_site_label
_atom_site_fract_x
_atom_site_fract_y
_atom_site_fract_z
Ba1 0.000 0.000 0.000
Si1 0.500 0.500 0.500
I1 0.000 0.000 0.500
O1 0.000 0.500 0.000
```

Summary:
- E (eV/atom) = -3.77
- DOS(E_F) (states/eV per atom) = 0.8569
- E_form (uncorrected) (eV/f.u.) = -0.036
- relative energy among the computed polymorphs (kJ per mole of atoms) = 84.96


No. 8
The following is a DFT calculation (PBE) of crystalline BaSiIO2 at its relaxed geometry.

Structure (CIF):
```
data_BaSiIO2
_chemical_formula_sum 'Ba1 Si1 I1 O2'
_symmetry_space_group_name_H-M 'P 4/m m m'
_symmetry_Int_Tables_number 123
_symmetry_space_group_name_Hall '-P 4 2'
_cell_length_a 4.408
_cell_length_b 4.408
_cell_length_c 5.216
_cell_angle_alpha 90.00
_cell_angle_beta 90.00
_cell_angle_gamma 90.00
loop_
_atom_site_label
_atom_site_fract_x
_atom_site_fract_y
_atom_site_fract_z
Ba1 0.000 0.000 0.000
Si1 0.500 0.500 0.500
I1 0.500 0.500 0.000
O1 0.000 0.500 0.500
```

Summary:
- E (eV/atom) = -4.65
- DOS(E_F) (states/eV per atom) = 0.2264
- E_form (uncorrected) (eV/f.u.) = -4.438
- relative energy among the computed polymorphs (kJ per mole of atoms) = 0.00


No. 9
The following is a DFT calculation (PBE) of crystalline BaSmIO6 at its relaxed geometry.

Structure (CIF):
```
data_BaSmIO6
_chemical_formula_sum 'Ba1 Sm1 I1 O6'
_symmetry_space_group_name_H-M 'P 3 1 2'
_symmetry_Int_Tables_number 149
_symmetry_space_group_name_Hall 'P 3 2'
_cell_length_a 5.7814
_cell_length_b 5.7814
_cell_length_c 5.5553
_cell_angle_alpha 90.00
_cell_angle_beta 90.00
_cell_angle_gamma 120.00
loop_
_atom_site_label
_atom_site_fract_x
_atom_site_fract_y
_atom_site_fract_z
Ba1 0.0000 0.0000 0.0000
Sm1 0.3333 0.6667 0.5000
I1 0.6667 0.3333 0.5000
O1 0.4032 0.0541 0.6969
```

Summary:
- E (eV/atom) = -6.07
- DOS(E_F) (states/eV per atom) = 0.0000
- E_form (uncorrected) (eV/f.u.) = -16.667


No. 10
The following is a DFT calculation (PBE) of crystalline BaSnIO6 at its relaxed geometry.

Structure (CIF):
```
data_BaSnIO6
_chemical_formula_sum 'Ba1 Sn1 I1 O6'
_symmetry_space_group_name_H-M 'P 3 1 2'
_symmetry_Int_Tables_number 149
_symmetry_space_group_name_Hall 'P 3 2'
_cell_length_a 5.5199
_cell_length_b 5.5199
_cell_length_c 5.8244
_cell_angle_alpha 90.00
_cell_angle_beta 90.00
_cell_angle_gamma 120.00
loop_
_atom_site_label
_atom_site_fract_x
_atom_site_fract_y
_atom_site_fract_z
Ba1 0.0000 0.0000 0.0000
Sn1 0.3333 0.6667 0.5000
I1 0.6667 0.3333 0.5000
O1 0.3916 0.0104 0.6986
```

Summary:
- E (eV/atom) = -5.49
- DOS(E_F) (states/eV per atom) = 0.3939
- E_form (uncorrected) (eV/f.u.) = -12.206


No. 11
The following is a DFT calculation (PBE) of crystalline Ba2SnI2O2 at its relaxed geometry.

Structure (CIF):
```
data_Ba2SnI2O2
_chemical_formula_sum 'Ba4 Sn2 I4 O4'
_symmetry_space_group_name_H-M 'C 1 2/m 1'
_symmetry_Int_Tables_number 12
_symmetry_space_group_name_Hall '-C 2y'
_cell_length_a 13.557
_cell_length_b 4.398
_cell_length_c 8.758
_cell_angle_alpha 90.00
_cell_angle_beta 121.86
_cell_angle_gamma 90.00
loop_
_atom_site_label
_atom_site_fract_x
_atom_site_fract_y
_atom_site_fract_z
Ba1 0.202 0.000 0.283
Sn1 0.000 0.000 0.500
I1 0.070 0.500 0.844
O1 0.186 0.000 0.565
```

Summary:
- E (eV/atom) = -4.77
- E_form (uncorrected) (eV/f.u.) = -12.519


No. 12
The following is a DFT calculation (PBE) of crystalline Ba2SrI2O2 at its relaxed geometry.

Structure (CIF):
```
data_Ba2SrI2O2
_chemical_formula_sum 'Ba4 Sr2 I4 O4'
_symmetry_space_group_name_H-M 'I 4/m m m'
_symmetry_Int_Tables_number 139
_symmetry_space_group_name_Hall '-I 4 2'
_cell_length_a 4.796
_cell_length_b 4.796
_cell_length_c 18.401
_cell_angle_alpha 90.00
_cell_angle_beta 90.00
_cell_angle_gamma 90.00
loop_
_atom_site_label
_atom_site_fract_x
_atom_site_fract_y
_atom_site_fract_z
Ba1 0.000 0.000 0.095
Sr1 0.000 0.000 0.500
I1 0.000 0.000 0.319
O1 0.000 0.500 0.000
```

Summary:
- E (eV/atom) = -4.86
- DOS(E_F) (states/eV per atom) = 0.0000
- E_form (uncorrected) (eV/f.u.) = -15.457


No. 13
The following is a DFT calculation (PBE) of crystalline BaSrIO2 at its relaxed geometry.

Structure (CIF):
```
data_BaSrIO2
_chemical_formula_sum 'Ba1 Sr1 I1 O2'
_symmetry_space_group_name_H-M 'P 4/m m m'
_symmetry_Int_Tables_number 123
_symmetry_space_group_name_Hall '-P 4 2'
_cell_length_a 4.891
_cell_length_b 4.891
_cell_length_c 6.448
_cell_angle_alpha 90.00
_cell_angle_beta 90.00
_cell_angle_gamma 90.00
loop_
_atom_site_label
_atom_site_fract_x
_atom_site_fract_y
_atom_site_fract_z
Ba1 0.000 0.000 0.000
Sr1 0.500 0.500 0.500
I1 0.000 0.000 0.500
O1 0.000 0.500 0.000
```

Summary:
- E (eV/atom) = -4.21
- DOS(E_F) (states/eV per atom) = 0.6927
- E_form (uncorrected) (eV/f.u.) = -5.999
- relative energy among the computed polymorphs (kJ per mole of atoms) = 24.72


no.,total magnetization (μB per cell)
1,3.3
2,2.0
3,0.1
4,2.0
5,0.0
6,0.0
7,0.0
8,0.0
9,0.0
10,0.6
11,0.0
12,0.0
13,0.3